[1]
Density functional theory data (GGA-PBE) for crystalline ZrRh2Br at its relaxed geometry.

a b c (Å): 5.288 5.288 5.288
angles (deg): 143.85 127.75 65.18
Sites, in units of the cell vectors:
Zr 0.000 0.000 0.000
Rh 0.259 0.759 0.500
Rh 0.741 0.241 0.500
Br 0.500 0.500 0.000

Results
Energy above the lowest structure with this stoichiometry: 0.78 eV/f.u.
Formation energy (no corrections): -0.69 eV/f.u.
Final energy: -25.61 eV for the cell shown
Crystal system: orthorhombic

[2]
Density functional theory data (GGA-PBE) for crystalline ZrRhBr at its relaxed geometry.

a b c (Å): 6.610 6.610 6.610
angles (deg): 151.48 151.48 40.77
Sites, in units of the cell vectors:
Zr 0.000 0.000 0.000
Rh 0.614 0.614 0.000
Br 0.340 0.340 0.000

Results
Energy above the lowest structure with this stoichiometry: 0.25 eV/f.u.
Formation energy (no corrections): -1.55 eV/f.u.
Final energy: -19.12 eV for the cell shown
Crystal system: tetragonal

[3]
Density functional theory data (GGA-PBE) for crystalline ZrRh2Br at its relaxed geometry.

a b c (Å): 4.261 4.261 3.850
angles (deg): 90.00 90.00 90.00
Sites, in units of the cell vectors:
Zr 0.000 0.000 0.000
Rh 0.000 0.500 0.500
Rh 0.500 0.000 0.500
Br 0.500 0.500 0.000

Results
Energy above the lowest structure with this stoichiometry: 1.59 eV/f.u.
Formation energy (no corrections): 0.12 eV/f.u.
Final energy: -24.81 eV for the cell shown
Crystal system: tetragonal

[4]
Density functional theory data (GGA-PBE) for crystalline Zr3RhBr at its relaxed geometry.

a b c (Å): 5.100 5.100 5.100
angles (deg): 90.00 90.00 90.00
Sites, in units of the cell vectors:
Zr 0.000 0.000 0.500
Zr 0.000 0.500 0.000
Zr 0.500 0.000 0.000
Rh 0.000 0.000 0.000
Br 0.500 0.500 0.500

Results
Energy above the lowest structure with this stoichiometry: 0.00 eV/f.u.
Formation energy (no corrections): 1.20 eV/f.u.
Final energy: -33.47 eV for the cell shown
Crystal system: cubic

[5]
Density functional theory data (GGA-PBE) for crystalline ZrRh2Br at its relaxed geometry.

a b c (Å): 8.218 8.218 8.218
angles (deg): 23.38 23.38 23.38
Sites, in units of the cell vectors:
Zr 0.000 0.000 0.000
Rh 0.256 0.256 0.256
Rh 0.744 0.744 0.744
Br 0.500 0.500 0.500

Results
Energy above the lowest structure with this stoichiometry: 1.05 eV/f.u.
Formation energy (no corrections): -0.43 eV/f.u.
Final energy: -25.35 eV for the cell shown
Crystal system: trigonal

[6]
Density functional theory data (GGA-PBE) for crystalline ZrRh2Br at its relaxed geometry.

a b c (Å): 5.244 5.244 5.244
angles (deg): 135.65 135.65 64.52
Sites, in units of the cell vectors:
Zr 0.000 0.000 0.000
Rh 0.500 0.500 0.000
Rh 0.750 0.250 0.500
Br 0.250 0.750 0.500

Results
Energy above the lowest structure with this stoichiometry: 1.41 eV/f.u.
Formation energy (no corrections): -0.07 eV/f.u.
Final energy: -24.99 eV for the cell shown
Crystal system: tetragonal

[7]
Density functional theory data (GGA-PBE) for crystalline ZrRh2Br at its relaxed geometry.

a b c (Å): 7.133 7.133 7.133
angles (deg): 132.27 132.27 69.81
Sites, in units of the cell vectors:
Zr 0.000 0.000 0.000
Zr 0.750 0.250 0.500
Rh 0.132 0.625 0.007
Rh 0.375 0.382 0.507
Rh 0.618 0.125 0.993
Rh 0.875 0.868 0.493
Br 0.250 0.750 0.500
Br 0.500 0.500 0.000

Results
Energy above the lowest structure with this stoichiometry: 2.34 eV/f.u.
Formation energy (no corrections): 0.87 eV/f.u.
Final energy: -48.11 eV for the cell shown
Crystal system: tetragonal

[8]
Density functional theory data (GGA-PBE) for crystalline ZrRh2Br at its relaxed geometry.

a b c (Å): 4.843 4.843 4.855
angles (deg): 99.78 99.78 40.21
Sites, in units of the cell vectors:
Zr 0.000 0.000 0.000
Rh 0.271 0.271 0.780
Rh 0.729 0.729 0.220
Br 0.500 0.500 0.500

Results
Energy above the lowest structure with this stoichiometry: 0.64 eV/f.u.
Formation energy (no corrections): -0.83 eV/f.u.
Final energy: -25.75 eV for the cell shown
Crystal system: monoclinic

[9]
Density functional theory data (GGA-PBE) for crystalline ZrRh2Br at its relaxed geometry.

a b c (Å): 4.619 4.619 4.619
angles (deg): 60.00 60.00 60.00
Sites, in units of the cell vectors:
Zr 0.000 0.000 0.000
Rh 0.500 0.500 0.500
Rh 0.750 0.750 0.750
Br 0.250 0.250 0.250

Results
Energy above the lowest structure with this stoichiometry: 1.62 eV/f.u.
Formation energy (no corrections): 0.15 eV/f.u.
Final energy: -24.78 eV for the cell shown
Crystal system: cubic

[10]
Density functional theory data (GGA-PBE) for crystalline ZrRhBr3 at its relaxed geometry.

a b c (Å): 5.286 5.286 5.286
angles (deg): 90.00 90.00 90.00
Sites, in units of the cell vectors:
Zr 0.000 0.000 0.000
Rh 0.500 0.500 0.500
Br 0.000 0.000 0.500
Br 0.000 0.500 0.000
Br 0.500 0.000 0.000

Results
Energy above the lowest structure with this stoichiometry: 0.00 eV/f.u.
Formation energy (no corrections): 0.67 eV/f.u.
Final energy: -20.25 eV for the cell shown
Crystal system: cubic

[11]
Density functional theory data (GGA-PBE) for crystalline ZrRhBr at its relaxed geometry.

a b c (Å): 4.535 4.535 4.535
angles (deg): 60.00 60.00 60.00
Sites, in units of the cell vectors:
Zr 0.000 0.000 0.000
Rh 0.250 0.250 0.250
Br 0.500 0.500 0.500

Results
Energy above the lowest structure with this stoichiometry: 1.76 eV/f.u.
Formation energy (no corrections): -0.04 eV/f.u.
Final energy: -17.61 eV for the cell shown
Crystal system: cubic

[12]
Density functional theory data (GGA-PBE) for crystalline ZrRh2Br at its relaxed geometry.

a b c (Å): 5.018 5.018 5.018
angles (deg): 131.60 131.60 70.86
Sites, in units of the cell vectors:
Zr 0.000 0.000 0.000
Rh 0.250 0.750 0.500
Rh 0.750 0.250 0.500
Br 0.500 0.500 0.000

Results
Energy above the lowest structure with this stoichiometry: 1.15 eV/f.u.
Formation energy (no corrections): -0.32 eV/f.u.
Final energy: -25.24 eV for the cell shown
Crystal system: tetragonal

Which of these has the highest formation energy (no corrections)? Zr3RhBr

Which formula does entry 10 have? ZrRhBr3